4
Lattice="3.017 0.000 0.000 0.000 3.017 0.000 0.000 0.000 7.108" Properties=species:S:1:pos:R:3 comment="SbIrW2 | Alexandria | SCAN | PBEsol geometry" raw_formation_energy_ev_per_atom=0.456 space_group="No. 123" vol_a3_per_cell=64.7 energy_ev_per_fu=-245.91 pbc="T T T"
Sb 0.000 0.000 0.000
Ir 0.000 0.000 3.554
W 1.509 1.509 1.822
W 1.509 1.509 5.286

8
Lattice="3.925 0.000 0.000 0.000 3.925 0.000 0.000 0.000 9.438" Properties=species:S:1:pos:R:3 comment="Sb2IrW | Alexandria | SCAN | PBEsol geometry" raw_formation_energy_ev_per_atom=0.758 space_group="No. 119" vol_a3_per_cell=145.4 energy_ev_per_fu=-212.27 pbc="T T T"
Sb 0.000 0.000 0.000
Sb 0.000 1.962 2.359
Sb 1.962 0.000 7.078
Sb 1.962 1.962 4.719
Ir 0.000 1.962 7.078
Ir 1.962 0.000 2.359
W 0.000 0.000 4.719
W 1.962 1.962 0.000